{"formula": "Si2Pt3", "functional": "PBE", "state": "relaxed", "lattice_angstrom": [[-0.721, -4.816, 4.354], [4.914, -1.529, 4.023], [-0.066, 0.683, 5.644]], "species": ["Si", "Si", "Si", "Si", "Pt", "Pt", "Pt", "Pt", "Pt", "Pt"], "frac_coords": [[0.890, 0.890, 0.330], [0.390, 0.390, 0.830], [0.110, 0.110, 0.670], [0.610, 0.610, 0.170], [0.025, 0.750, 0.750], [0.750, 0.475, 0.750], [0.475, 0.025, 0.750], [0.250, 0.525, 0.250], [0.525, 0.975, 0.250], [0.975, 0.250, 0.250]], "magnetic_moment_mub_per_fu": 0.0, "dos_ef_per_ev_cell": 5.7, "formation_energy_uncorrected_mev_per_atom": -494.2}

---

{"formula": "La2ScSiOs", "functional": "PBE", "state": "relaxed", "lattice_angstrom": [[5.526, 0.000, 0.000], [0.000, 4.866, 0.000], [0.000, 0.000, 5.526]], "species": ["Sc", "Si", "Os", "La", "La"], "frac_coords": [[0.000, 0.500, 0.000], [0.000, 0.000, 0.000], [0.500, 0.500, 0.500], [0.000, 0.000, 0.500], [0.500, 0.000, 0.000]], "magnetic_moment_mub_per_fu": 0.0, "dos_ef_per_ev_cell": 7.4, "formation_energy_uncorrected_mev_per_atom": 653.2}

---

{"formula": "Rb2CeHoO4", "functional": "PBE", "state": "relaxed", "lattice_angstrom": [[3.584, 0.000, 0.000], [0.000, 6.211, 0.104], [0.000, -2.173, 6.544]], "species": ["Rb", "Rb", "Ce", "Ho", "O", "O", "O", "O"], "frac_coords": [[0.500, 0.000, 0.500], [0.000, 0.500, 0.500], [0.500, 0.500, 0.000], [0.000, 0.000, 0.000], [0.500, 0.217, 0.174], [0.500, 0.783, 0.826], [0.000, 0.265, 0.824], [0.000, 0.735, 0.176]], "magnetic_moment_mub_per_fu": 1.0, "dos_ef_per_ev_cell": 2.7, "formation_energy_uncorrected_mev_per_atom": -2614.0}

---

{"formula": "Ac3Tl4Pb", "functional": "PBE", "state": "relaxed", "lattice_angstrom": [[-1.961, 2.123, -2.691], [-8.690, -4.760, 2.577], [4.036, 6.316, 4.940]], "species": ["Ac", "Ac", "Ac", "Tl", "Tl", "Tl", "Tl", "Pb"], "frac_coords": [[0.204, 0.204, 0.409], [0.796, 0.796, 0.591], [0.000, 0.500, 0.000], [0.373, 0.605, 0.746], [0.627, 0.395, 0.254], [0.627, 0.858, 0.254], [0.373, 0.142, 0.746], [0.500, 0.000, 0.000]], "magnetic_moment_mub_per_fu": 0.0, "dos_ef_per_ev_cell": 6.5, "e_form_kj_per_mol_atoms": -20}

---

Record order is preserved below.
Total energy: -6.2879; -5.9146; -6.6490; -3.3961 eV/atom